# TlAgBi2 | the Alexandria database | PBE | optimized geometry
data_TlAgBi2
_cell_length_a 5.719
_cell_length_b 5.719
_cell_length_c 3.431
_cell_angle_alpha 90.00
_cell_angle_beta 90.00
_cell_angle_gamma 90.00
_space_group_name_H-M_alt 'P 4/m m m'
_space_group_IT_number 123
_space_group_name_Hall '-P 4 2'
loop_
_atom_site_label
_atom_site_type_symbol
_atom_site_fract_x
_atom_site_fract_y
_atom_site_fract_z
Tl1 Tl 0.000 0.000 0.000
Ag1 Ag 0.500 0.500 0.000
Bi1 Bi 0.000 0.500 0.500
# **Calculated formation energy**: 0.1651 eV/atom
# **D(E_F)**: 0.49 states/eV per atom
# **Total magnetic moment**: 0.0 μB/cell
# **Final energy**: -3.080 eV per atom


# Sm2Ta2N5 | the Alexandria database | PBE | optimized geometry
data_Sm2Ta2N5
_cell_length_a 11.267
_cell_length_b 4.203
_cell_length_c 5.856
_cell_angle_alpha 90.00
_cell_angle_beta 113.45
_cell_angle_gamma 90.00
_space_group_name_H-M_alt 'C 1 2/m 1'
_space_group_IT_number 12
loop_
_space_group_symop_operation_xyz
'x,y,z'
'-x,-y,-z'
'-x,y,-z'
'x,-y,z'
'x+1/2,y+1/2,z'
'-x+1/2,-y+1/2,-z'
'-x+1/2,y+1/2,-z'
'x+1/2,-y+1/2,z'
loop_
_atom_site_label
_atom_site_type_symbol
_atom_site_fract_x
_atom_site_fract_y
_atom_site_fract_z
Sm1 Sm 0.110 0.000 0.322
Ta1 Ta 0.152 0.500 0.879
N1 N 0.000 0.500 0.000
N2 N 0.149 0.000 0.911
N3 N 0.158 0.500 0.555
# **D(E_F)**: 0.19 states/eV per atom
# **Total magnetic moment**: 0.0 μB/cell
# **Final energy**: -9.557 eV per atom
# **Raw formation energy**: -1.25 eV per atom


> Which of these has the highest final energy?

TlAgBi2


What did the first record say?
# TlAgBi2 | the Alexandria database | PBE | optimized geometry
data_TlAgBi2
_cell_length_a 5.719
_cell_length_b 5.719
_cell_length_c 3.431
_cell_angle_alpha 90.00
_cell_angle_beta 90.00
_cell_angle_gamma 90.00
_space_group_name_H-M_alt 'P 4/m m m'
_space_group_IT_number 123
_space_group_name_Hall '-P 4 2'
loop_
_atom_site_label
_atom_site_type_symbol
_atom_site_fract_x
_atom_site_fract_y
_atom_site_fract_z
Tl1 Tl 0.000 0.000 0.000
Ag1 Ag 0.500 0.500 0.000
Bi1 Bi 0.000 0.500 0.500
# **Calculated formation energy**: 0.1651 eV/atom
# **D(E_F)**: 0.49 states/eV per atom
# **Total magnetic moment**: 0.0 μB/cell
# **Final energy**: -3.080 eV per atom